[1]
Computed, not measured: a relaxed structure of Y2PtAu at the PBEsol level of DFT.

It has space group Amm2 (No. 38), with a = 4.515 Å, b = 3.718 Å, c = 10.565 Å, α = 90.00°, β = 90.00° and γ = 90.00°. The distinct sites, in fractional coordinates, are Y at (0.000, 0.000, 0.000), Y at (0.500, 0.000, 0.278), Pt at (0.000, 0.000, 0.727) and Au at (0.500, 0.000, 0.554).

The energy relative to the elements is -1.06 eV/atom. For the volume, the calculation gives 22.17 Å³/atom.

[2]
Computed, not measured: a relaxed structure of YPt4Au at the PBEsol level of DFT.

It has space group F-43m (No. 216), with a = 7.457 Å, b = 7.457 Å, c = 7.457 Å, α = 90.00°, β = 90.00° and γ = 90.00°. The distinct sites, in fractional coordinates, are Y at (0.000, 0.000, 0.000), Pt at (0.125, 0.125, 0.625) and Au at (0.250, 0.250, 0.250).

The energy relative to the elements is -0.70 eV/atom. For the volume, the calculation gives 17.28 Å³/atom.

[3]
Computed, not measured: a relaxed structure of YPtAu at the PBEsol level of DFT.

It has space group F-43m (No. 216), with a = 6.459 Å, b = 6.459 Å, c = 6.459 Å, α = 90.00°, β = 90.00° and γ = 90.00°. The distinct sites, in fractional coordinates, are Y at (0.000, 0.000, 0.000), Pt at (0.250, 0.250, 0.250) and Au at (0.000, 0.000, 0.500).

The energy relative to the elements is -0.77 eV/atom. For the volume, the calculation gives 22.46 Å³/atom.

[4]
Computed, not measured: a relaxed structure of Y2PtAu at the PBEsol level of DFT.

It has space group P4/mmm (No. 123), with a = 3.478 Å, b = 3.478 Å, c = 7.066 Å, α = 90.00°, β = 90.00° and γ = 90.00°. The distinct sites, in fractional coordinates, are Y at (0.000, 0.000, 0.240), Pt at (0.500, 0.500, 0.000) and Au at (0.500, 0.500, 0.500).

The energy relative to the elements is -1.01 eV/atom. For the volume, the calculation gives 21.37 Å³/atom.

[5]
Computed, not measured: a relaxed structure of YPtAu at the PBEsol level of DFT.

It has space group I4mm (No. 107), with a = 3.618 Å, b = 3.618 Å, c = 8.877 Å, α = 90.00°, β = 90.00° and γ = 90.00°. The distinct sites, in fractional coordinates, are Y at (0.000, 0.000, 0.000), Pt at (0.000, 0.000, 0.658) and Au at (0.000, 0.000, 0.327).

The energy relative to the elements is -0.90 eV/atom. For the volume, the calculation gives 19.37 Å³/atom.

[6]
Computed, not measured: a relaxed structure of YPtAu at the PBEsol level of DFT.

It has space group P-6m2 (No. 187), with a = 4.5803 Å, b = 4.5803 Å, c = 3.3184 Å, α = 90.00°, β = 90.00° and γ = 120.00°. The distinct sites, in fractional coordinates, are Y at (0.0000, 0.0000, 0.0000), Pt at (0.3333, 0.6667, 0.5000) and Au at (0.6667, 0.3333, 0.5000).

The energy relative to the elements is -0.81 eV/atom. For the volume, the calculation gives 20.10 Å³/atom.

[7]
Computed, not measured: a relaxed structure of ZnPt2Au at the PBEsol level of DFT.

It has space group I4/mmm (No. 139), with a = 3.996 Å, b = 3.996 Å, c = 7.550 Å, α = 90.00°, β = 90.00° and γ = 90.00°. The distinct sites, in fractional coordinates, are Zn at (0.000, 0.000, 0.000), Pt at (0.000, 0.500, 0.250) and Au at (0.000, 0.000, 0.500).

The energy relative to the elements is -0.23 eV/atom. For the volume, the calculation gives 15.07 Å³/atom.

[8]
Computed, not measured: a relaxed structure of ZnPt2Au at the PBEsol level of DFT.

It has space group Immm (No. 71), with a = 2.791 Å, b = 4.676 Å, c = 9.235 Å, α = 90.00°, β = 90.00° and γ = 90.00°. The distinct sites, in fractional coordinates, are Zn at (0.000, 0.000, 0.000), Pt at (0.000, 0.500, 0.264) and Au at (0.000, 0.000, 0.500).

The energy relative to the elements is -0.22 eV/atom. For the volume, the calculation gives 15.07 Å³/atom.

[9]
Computed, not measured: a relaxed structure of ZnPt2Au at the PBEsol level of DFT.

It has space group P4/mmm (No. 123), with a = 2.830 Å, b = 2.830 Å, c = 7.458 Å, α = 90.00°, β = 90.00° and γ = 90.00°. The distinct sites, in fractional coordinates, are Zn at (0.000, 0.000, 0.000), Pt at (0.500, 0.500, 0.228) and Au at (0.000, 0.000, 0.500).

The energy relative to the elements is -0.26 eV/atom. For the volume, the calculation gives 14.93 Å³/atom.

[10]
Computed, not measured: a relaxed structure of ZnPt2Au at the PBEsol level of DFT.

It has space group Cmmm (No. 65), with a = 5.648 Å, b = 7.376 Å, c = 2.889 Å, α = 90.00°, β = 90.00° and γ = 90.00°. The distinct sites, in fractional coordinates, are Zn at (0.000, 0.000, 0.000), Pt at (0.250, 0.250, 0.500) and Au at (0.000, 0.500, 0.000).

The energy relative to the elements is -0.24 eV/atom. For the volume, the calculation gives 15.04 Å³/atom.

[11]
Computed, not measured: a relaxed structure of ZnPt2Au at the PBEsol level of DFT.

It has space group I-4m2 (No. 119), with a = 3.995 Å, b = 3.995 Å, c = 7.579 Å, α = 90.00°, β = 90.00° and γ = 90.00°. The distinct sites, in fractional coordinates, are Zn at (0.000, 0.000, 0.000), Pt at (0.000, 0.000, 0.500), Pt at (0.000, 0.500, 0.750) and Au at (0.000, 0.500, 0.250).

The energy relative to the elements is -0.18 eV/atom. For the volume, the calculation gives 15.12 Å³/atom.

[12]
Computed, not measured: a relaxed structure of ZnPtAu3 at the PBEsol level of DFT.

It has space group Pm-3m (No. 221), with a = 4.606 Å, b = 4.606 Å, c = 4.606 Å, α = 90.00°, β = 90.00° and γ = 90.00°. The distinct sites, in fractional coordinates, are Zn at (0.000, 0.000, 0.000), Pt at (0.500, 0.500, 0.500) and Au at (0.000, 0.000, 0.500).

The energy relative to the elements is 0.89 eV/atom. For the volume, the calculation gives 19.54 Å³/atom.

[13]
Computed, not measured: a relaxed structure of ZnPt2Au at the PBEsol level of DFT.

It has space group C2/m (No. 12), with a = 9.341 Å, b = 2.793 Å, c = 4.769 Å, α = 90.00°, β = 104.79° and γ = 90.00°. The distinct sites, in fractional coordinates, are Zn at (0.000, 0.000, 0.000), Pt at (0.238, 0.500, 0.242) and Au at (0.000, 0.500, 0.500).

The energy relative to the elements is -0.23 eV/atom. For the volume, the calculation gives 15.04 Å³/atom.

[14]
Computed, not measured: a relaxed structure of ZnPt2Au at the PBEsol level of DFT.

It has space group R-3m (No. 166, hexagonal axes), with a = 2.7978 Å, b = 2.7978 Å, c = 26.6346 Å, α = 90.00°, β = 90.00° and γ = 120.00°. The distinct sites, in fractional coordinates, are Zn at (0.0000, 0.0000, 0.0000), Pt at (0.0000, 0.0000, 0.2568) and Au at (0.0000, 0.0000, 0.5000).

The energy relative to the elements is -0.24 eV/atom. For the volume, the calculation gives 15.05 Å³/atom.

[15]
Computed, not measured: a relaxed structure of ZnPt2Au at the PBEsol level of DFT.

It has space group Pmmm (No. 47), with a = 2.820 Å, b = 3.670 Å, c = 5.816 Å, α = 90.00°, β = 90.00° and γ = 90.00°. The distinct sites, in fractional coordinates, are Zn at (0.000, 0.000, 0.000), Pt at (0.500, 0.500, 0.234) and Au at (0.000, 0.000, 0.500).

The energy relative to the elements is -0.23 eV/atom. For the volume, the calculation gives 15.05 Å³/atom.

[16]
Computed, not measured: a relaxed structure of ZnPtAu4 at the PBEsol level of DFT.

It has space group F-43m (No. 216), with a = 7.512 Å, b = 7.512 Å, c = 7.512 Å, α = 90.00°, β = 90.00° and γ = 90.00°. The distinct sites, in fractional coordinates, are Zn at (0.000, 0.000, 0.000), Pt at (0.250, 0.250, 0.750) and Au at (0.125, 0.125, 0.375).

The energy relative to the elements is 0.29 eV/atom. For the volume, the calculation gives 17.66 Å³/atom.

[17]
Computed, not measured: a relaxed structure of Zn4PtAu at the PBEsol level of DFT.

It has space group F-43m (No. 216), with a = 6.958 Å, b = 6.958 Å, c = 6.958 Å, α = 90.00°, β = 90.00° and γ = 90.00°. The distinct sites, in fractional coordinates, are Zn at (0.125, 0.125, 0.125), Pt at (0.000, 0.000, 0.500) and Au at (0.250, 0.250, 0.750).

The energy relative to the elements is -0.16 eV/atom. For the volume, the calculation gives 14.04 Å³/atom.

[18]
Computed, not measured: a relaxed structure of Zr3PtAu at the PBEsol level of DFT.

It has space group Pm-3m (No. 221), with a = 4.993 Å, b = 4.993 Å, c = 4.993 Å, α = 90.00°, β = 90.00° and γ = 90.00°. The distinct sites, in fractional coordinates, are Zr at (0.000, 0.000, 0.500), Pt at (0.000, 0.000, 0.000) and Au at (0.500, 0.500, 0.500).

The energy relative to the elements is 0.26 eV/atom. For the volume, the calculation gives 24.90 Å³/atom.

[19]
Computed, not measured: a relaxed structure of ZrPtAu at the PBEsol level of DFT.

It has space group I4mm (No. 107), with a = 3.495 Å, b = 3.495 Å, c = 8.637 Å, α = 90.00°, β = 90.00° and γ = 90.00°. The distinct sites, in fractional coordinates, are Zr at (0.000, 0.000, 0.000), Pt at (0.000, 0.000, 0.655) and Au at (0.000, 0.000, 0.328).

As for the excess energy over the best structure of this formula in the dataset: 0.000 eV/atom. The energy relative to the elements is -0.90 eV/atom. For the volume, the calculation gives 17.59 Å³/atom.

[20]
Computed, not measured: a relaxed structure of ZrPt2Au at the PBEsol level of DFT.

It has space group I-4m2 (No. 119), with a = 3.946 Å, b = 3.946 Å, c = 8.468 Å, α = 90.00°, β = 90.00° and γ = 90.00°. The distinct sites, in fractional coordinates, are Zr at (0.000, 0.000, 0.000), Pt at (0.000, 0.000, 0.500), Pt at (0.000, 0.500, 0.250) and Au at (0.000, 0.500, 0.750).

The energy relative to the elements is -0.85 eV/atom. For the volume, the calculation gives 16.48 Å³/atom.